The following is a DFT calculation (GGA-PBE) of a relaxed structure of CuHRu2Pt.

Unit cell a=3.8298 b=3.8298 c=3.9944 alpha=90.00 beta=90.00 gamma=90.00
Space group P4/mmm (No. 123)
Asymmetric unit:
Cu (0.0000, 0.0000, 0.0000) [1 per cell]
H (0.0000, 0.0000, 0.5000) [1 per cell]
Ru (0.0000, 0.5000, 0.5000) [2 per cell]
Pt (0.5000, 0.5000, 0.0000) [1 per cell]

The calculation puts the total energy at -6.222 eV per atom.